[1]
Computed, not measured: a geometry-optimized ReAg2Hg structure at the PBE-GGA level of DFT.

a = 5.7610 Å, b = 9.0577 Å, c = 2.7113 Å
α = 90.00°, β = 90.00°, γ = 90.00°
Space group Cmmm (No. 65)
Asymmetric unit:
1 Re 0.0000 0.0000 0.0000 (multiplicity 2)
2 Ag 0.2500 0.2500 0.5000 (multiplicity 4)
3 Hg 0.0000 0.5000 0.0000 (multiplicity 2)

- DOS(E_F): 3.16 states/eV/cell
- Formation enthalpy at 0 K: 0.64 eV per atom
- ρ: 14.1 g/cm³
- Magnetic moment: 0.0 Bohr magnetons per cell



[2]
Computed, not measured: a geometry-optimized Hg8Mo structure at the PBE-GGA level of DFT.

a = 9.9660 Å, b = 9.9660 Å, c = 4.2390 Å
α = 90.00°, β = 90.00°, γ = 90.00°
Space group I4/mmm (No. 139)
Asymmetric unit:
1 Hg 0.0000 0.3295 0.0000 (multiplicity 8)
2 Hg 0.1606 0.1606 0.5000 (multiplicity 8)
3 Mo 0.0000 0.0000 0.0000 (multiplicity 2)

- DOS(E_F): 9.14 states/eV/cell
- Formation enthalpy at 0 K: 0.37 eV per atom
- ρ: 13.4 g/cm³
- Magnetic moment: 6.6 Bohr magnetons per cell



[3]
Computed, not measured: a geometry-optimized Nb2NiMo structure at the PBE-GGA level of DFT.

a = 3.2443 Å, b = 3.2443 Å, c = 6.0388 Å
α = 90.00°, β = 90.00°, γ = 90.00°
Space group P4/mmm (No. 123)
Asymmetric unit:
1 Nb 0.0000 0.0000 0.2456 (multiplicity 2)
2 Ni 0.5000 0.5000 0.0000 (multiplicity 1)
3 Mo 0.5000 0.5000 0.5000 (multiplicity 1)

- DOS(E_F): 4.52 states/eV/cell
- Formation enthalpy at 0 K: -0.10 eV per atom
- ρ: 8.9 g/cm³
- Magnetic moment: 0.0 Bohr magnetons per cell



[4]
Computed, not measured: a geometry-optimized CaGe2Pd2 structure at the PBE-GGA level of DFT.

a = 4.3965 Å, b = 4.3965 Å, c = 10.3444 Å
α = 90.00°, β = 90.00°, γ = 90.00°
Space group I4/mmm (No. 139)
Asymmetric unit:
1 Ca 0.0000 0.0000 0.0000 (multiplicity 2)
2 Ge 0.0000 0.5000 0.2500 (multiplicity 4)
3 Pd 0.0000 0.0000 0.3696 (multiplicity 4)

- DOS(E_F): 4.39 states/eV/cell
- Formation enthalpy at 0 K: -0.57 eV per atom
- ρ: 6.6 g/cm³
- Magnetic moment: 0.0 Bohr magnetons per cell



[5]
Computed, not measured: a geometry-optimized Sc2CdPb2 structure at the PBE-GGA level of DFT.

a = 5.5959 Å, b = 5.5959 Å, c = 9.6804 Å
α = 90.00°, β = 90.00°, γ = 90.00°
Space group I4/mmm (No. 139)
Asymmetric unit:
1 Sc 0.0000 0.5000 0.2500 (multiplicity 4)
2 Cd 0.0000 0.0000 0.0000 (multiplicity 2)
3 Pb 0.0000 0.0000 0.3369 (multiplicity 4)

- Relative energy among the computed polymorphs: 256.3 meV per atom
- DOS(E_F): 4.73 states/eV/cell
- Formation enthalpy at 0 K: 0.08 eV per atom
- ρ: 6.8 g/cm³
- Magnetic moment: 0.0 Bohr magnetons per cell



[6]
Computed, not measured: a geometry-optimized SrBeSCl2 structure at the PBE-GGA level of DFT.

a = 4.6177 Å, b = 4.6177 Å, c = 4.6583 Å
α = 90.00°, β = 90.00°, γ = 90.00°
Space group P4/mmm (No. 123)
Asymmetric unit:
1 Sr 0.0000 0.0000 0.0000 (multiplicity 1)
2 Be 0.5000 0.5000 0.5000 (multiplicity 1)
3 S 0.5000 0.5000 0.0000 (multiplicity 1)
4 Cl 0.0000 0.5000 0.5000 (multiplicity 2)

- Relative energy among the computed polymorphs: 0.0 meV per atom
- Raw formation energy: -1406 meV/atom
- ρ: 3.3 g/cm³
- Magnetic moment: 0.0 Bohr magnetons per cell



[7]
Computed, not measured: a geometry-optimized CaRhAu2 structure at the PBE-GGA level of DFT.

a = 6.7562 Å, b = 6.7562 Å, c = 6.7562 Å
α = 90.00°, β = 90.00°, γ = 90.00°
Space group Fm-3m (No. 225)
Asymmetric unit:
1 Ca 0.0000 0.0000 0.0000 (multiplicity 4)
2 Rh 0.0000 0.0000 0.5000 (multiplicity 4)
3 Au 0.2500 0.2500 0.2500 (multiplicity 8)

- DOS(E_F): 9.60 states/eV/cell
- Formation enthalpy at 0 K: -0.30 eV per atom
- ρ: 11.6 g/cm³
- Magnetic moment: 0.0 Bohr magnetons per cell



[8]
Computed, not measured: a geometry-optimized La2PrDyS4 structure at the PBE-GGA level of DFT.

a = 7.0896 Å, b = 4.0497 Å, c = 7.0937 Å
α = 90.00°, β = 109.13°, γ = 90.00°
Space group P2/m (No. 10)
Asymmetric unit:
1 La 0.0000 0.0000 0.0000 (multiplicity 1)
2 La 0.5000 0.5000 0.0000 (multiplicity 1)
3 Pr 0.0000 0.5000 0.5000 (multiplicity 1)
4 Dy 0.5000 0.0000 0.5000 (multiplicity 1)
5 S 0.2562 0.0000 0.7416 (multiplicity 2)
6 S 0.2639 0.5000 0.2650 (multiplicity 2)

- DOS(E_F): 5.03 states/eV/cell
- Raw formation energy: -2085 meV/atom
- ρ: 6.1 g/cm³
- Magnetic moment: 0.0 Bohr magnetons per cell



[9]
Computed, not measured: a geometry-optimized K2Sn3Sb2 structure at the PBE-GGA level of DFT.

a = 12.4572 Å, b = 5.1104 Å, c = 8.0380 Å
α = 90.00°, β = 112.21°, γ = 90.00°
Space group C2/m (No. 12)
Asymmetric unit:
1 K 0.1480 0.0000 0.2883 (multiplicity 4)
2 Sn 0.0000 0.5000 0.5000 (multiplicity 2)
3 Sn 0.1042 0.5000 0.9217 (multiplicity 4)
4 Sb 0.1511 0.0000 0.7512 (multiplicity 4)

- DOS(E_F): 5.24 states/eV/cell
- Raw formation energy: -189 meV/atom
- ρ: 4.8 g/cm³
- Magnetic moment: 0.0 Bohr magnetons per cell



[10]
Computed, not measured: a geometry-optimized ScP2O2 structure at the PBE-GGA level of DFT.

a = 5.0499 Å, b = 5.0499 Å, c = 3.8376 Å
α = 90.00°, β = 90.00°, γ = 90.00°
Space group P4/mmm (No. 123)
Asymmetric unit:
1 Sc 0.0000 0.0000 0.0000 (multiplicity 1)
2 P 0.0000 0.5000 0.0000 (multiplicity 2)
3 O 0.0000 0.0000 0.5000 (multiplicity 1)
4 O 0.5000 0.5000 0.5000 (multiplicity 1)

- Relative energy among the computed polymorphs: 1627.6 meV per atom
- DOS(E_F): 3.93 states/eV/cell
- Raw formation energy: 365 meV/atom
- ρ: 2.4 g/cm³
- Magnetic moment: 0.0 Bohr magnetons per cell



[11]
Computed, not measured: a geometry-optimized CsAuF2 structure at the PBE-GGA level of DFT.

a = 6.7960 Å, b = 6.7960 Å, c = 6.7960 Å
α = 90.00°, β = 90.00°, γ = 90.00°
Space group Fm-3m (No. 225)
Asymmetric unit:
1 Cs 0.0000 0.0000 0.0000 (multiplicity 4)
2 Au 0.0000 0.0000 0.5000 (multiplicity 4)
3 F 0.2500 0.2500 0.2500 (multiplicity 8)

- Relative energy among the computed polymorphs: 533.3 meV per atom
- DOS(E_F): 0.00 states/eV/cell
- Raw formation energy: -1191 meV/atom
- ρ: 7.8 g/cm³
- Magnetic moment: 0.0 Bohr magnetons per cell



[12]
Computed, not measured: a geometry-optimized Tl2HgPAu structure at the PBE-GGA level of DFT.

a = 5.9729 Å, b = 5.9729 Å, c = 4.5708 Å
α = 90.00°, β = 90.00°, γ = 90.00°
Space group P4/mmm (No. 123)
Asymmetric unit:
1 Tl 0.0000 0.5000 0.0000 (multiplicity 2)
2 Hg 0.0000 0.0000 0.5000 (multiplicity 1)
3 P 0.5000 0.5000 0.5000 (multiplicity 1)
4 Au 0.5000 0.5000 0.0000 (multiplicity 1)

- DOS(E_F): 1.37 states/eV/cell
- Formation enthalpy at 0 K: 0.23 eV per atom
- ρ: 8.5 g/cm³
- Magnetic moment: 0.0 Bohr magnetons per cell